Model 1:
# AcLa5Sm4 PBE relaxed
data_AcLa5Sm4
_chemical_formula_sum 'Ac1 La5 Sm4'
_space_group_name_H-M_alt 'P 4/m m m'
_space_group_IT_number 123
_space_group_name_Hall '-P 4 2'
_cell_length_a 3.7575
_cell_length_b 3.7575
_cell_length_c 25.9183
_cell_angle_alpha 90.00
_cell_angle_beta 90.00
_cell_angle_gamma 90.00
loop_
_atom_site_label
_atom_site_fract_x
_atom_site_fract_y
_atom_site_fract_z
Ac1 0.0000 0.0000 0.0000
La1 0.5000 0.5000 0.1081
La2 0.5000 0.5000 0.3041
La3 0.5000 0.5000 0.5000
Sm1 0.0000 0.0000 0.2066
Sm2 0.0000 0.0000 0.4019
# D(E_F) in states/eV per cell: 19.02
# ρ in kg/m3: 6911
# M_tot in μB/atom: 0.0000

=====

Model 2:
# AcLa5Sm4 PBE relaxed
data_AcLa5Sm4
_chemical_formula_sum 'Ac2 La10 Sm8'
_space_group_name_H-M_alt 'P m m n'
_space_group_IT_number 59
_cell_length_a 6.9471
_cell_length_b 9.5201
_cell_length_c 11.6096
_cell_angle_alpha 90.00
_cell_angle_beta 90.00
_cell_angle_gamma 90.00
loop_
_space_group_symop_operation_xyz
'x,y,z'
'-x,-y,-z'
'-x+1/2,-y+1/2,z'
'x+1/2,y+1/2,-z'
'x+1/2,-y,-z'
'-x+1/2,y,z'
'-x,y+1/2,-z'
'x,-y+1/2,z'
loop_
_atom_site_label
_atom_site_fract_x
_atom_site_fract_y
_atom_site_fract_z
Ac1 0.2500 0.2500 0.1646
La1 0.9996 0.0682 0.7181
La2 0.2500 0.7500 0.7842
Sm1 0.0036 0.2500 0.4588
Sm2 0.2500 0.5610 0.0070
# D(E_F) in states/eV per cell: 33.83
# ρ in kg/m3: 6587
# M_tot in μB/atom: 0.0000

=====

Quick one: least stable of them? model 2

=====

Model 1:
# Ac8La2Sm PBE relaxed
data_Ac8La2Sm
_chemical_formula_sum 'Ac16 La4 Sm2'
_space_group_name_H-M_alt 'C 1 2/m 1'
_space_group_IT_number 12
_space_group_name_Hall '-C 2y'
_cell_length_a 13.2249
_cell_length_b 12.4862
_cell_length_c 6.3277
_cell_angle_alpha 90.00
_cell_angle_beta 102.33
_cell_angle_gamma 90.00
loop_
_atom_site_label
_atom_site_fract_x
_atom_site_fract_y
_atom_site_fract_z
Ac1 0.0802 0.0000 0.2910
Ac2 0.1105 0.2475 0.7985
Ac3 0.1413 0.5000 0.5068
La1 0.2351 0.0000 0.9118
Sm1 0.0000 0.5000 0.0000
# D(E_F) in states/eV per cell: 33.72
# ρ in kg/m3: 7301
# M_tot in μB/atom: 0.0001

=====

Model 2:
# Ac8La2Sm PBE relaxed
data_Ac8La2Sm
_chemical_formula_sum 'Ac16 La4 Sm2'
_space_group_name_H-M_alt 'C 1 2/m 1'
_space_group_IT_number 12
_space_group_name_Hall '-C 2y'
_cell_length_a 13.3845
_cell_length_b 12.6575
_cell_length_c 6.3298
_cell_angle_alpha 90.00
_cell_angle_beta 104.61
_cell_angle_gamma 90.00
loop_
_atom_site_label
_atom_site_fract_x
_atom_site_fract_y
_atom_site_fract_z
Ac1 0.0832 0.0000 0.2939
Ac2 0.1011 0.2565 0.8052
Ac3 0.2316 0.0000 0.8877
La1 0.1328 0.5000 0.5119
Sm1 0.0000 0.5000 0.0000
# D(E_F) in states/eV per cell: 32.76
# ρ in kg/m3: 7182
# M_tot in μB/atom: 0.0000

=====

Quick one: least stable of them? model 2

=====

Model 1:
# AcLaSm2 PBE relaxed
data_AcLaSm2
_chemical_formula_sum 'Ac3 La3 Sm6'
_space_group_name_H-M_alt 'R -3 m'
_space_group_IT_number 166
_space_group_name_Hall '-R 3 2"'
_cell_length_a 3.7789
_cell_length_b 3.7789
_cell_length_c 36.0816
_cell_angle_alpha 90.00
_cell_angle_beta 90.00
_cell_angle_gamma 120.00
loop_
_atom_site_label
_atom_site_fract_x
_atom_site_fract_y
_atom_site_fract_z
Ac1 0.0000 0.0000 0.0000
La1 0.0000 0.0000 0.5000
Sm1 0.0000 0.0000 0.2485
# D(E_F) in states/eV per cell: 16.19
# ρ in kg/m3: 7442
# M_tot in μB/atom: 0.0000

=====

Model 2:
# AcLaSm2 PBE relaxed
data_AcLaSm2
_chemical_formula_sum 'Ac4 La4 Sm8'
_space_group_name_H-M_alt 'F m -3 m'
_space_group_IT_number 225
_space_group_name_Hall '-F 4 2 3'
_cell_length_a 8.4387
_cell_length_b 8.4387
_cell_length_c 8.4387
_cell_angle_alpha 90.00
_cell_angle_beta 90.00
_cell_angle_gamma 90.00
loop_
_atom_site_label
_atom_site_fract_x
_atom_site_fract_y
_atom_site_fract_z
Ac1 0.0000 0.0000 0.0000
La1 0.0000 0.0000 0.5000
Sm1 0.2500 0.2500 0.2500
# D(E_F) in states/eV per cell: 33.79
# ρ in kg/m3: 7368
# M_tot in μB/atom: 0.0000

=====

Model 3:
# AcLaSm2 PBE relaxed
data_AcLaSm2
_chemical_formula_sum 'Ac3 La3 Sm6'
_space_group_name_H-M_alt 'R 3 m'
_space_group_IT_number 160
_space_group_name_Hall 'R 3 -2"'
_cell_length_a 3.7807
_cell_length_b 3.7807
_cell_length_c 36.2308
_cell_angle_alpha 90.00
_cell_angle_beta 90.00
_cell_angle_gamma 120.00
loop_
_atom_site_label
_atom_site_fract_x
_atom_site_fract_y
_atom_site_fract_z
Ac1 0.0000 0.0000 0.0000
La1 0.0000 0.0000 0.1661
Sm1 0.0000 0.0000 0.4176
Sm2 0.0000 0.0000 0.5828
# D(E_F) in states/eV per cell: 19.60
# ρ in kg/m3: 7404
# M_tot in μB/atom: 0.0000

=====

Quick one: least stable of them? model 2

=====

Model 1:
# AcLaSm2 PBE relaxed
data_AcLaSm2
_chemical_formula_sum 'Ac1 La1 Sm2'
_space_group_name_H-M_alt 'P 4/m m m'
_space_group_IT_number 123
_space_group_name_Hall '-P 4 2'
_cell_length_a 5.3283
_cell_length_b 5.3283
_cell_length_c 5.2127
_cell_angle_alpha 90.00
_cell_angle_beta 90.00
_cell_angle_gamma 90.00
loop_
_atom_site_label
_atom_site_fract_x
_atom_site_fract_y
_atom_site_fract_z
Ac1 0.0000 0.0000 0.0000
La1 0.5000 0.5000 0.0000
Sm1 0.0000 0.5000 0.5000
# D(E_F) in states/eV per cell: 6.32
# ρ in kg/m3: 7480
# M_tot in μB/atom: 0.0000

=====

Model 2:
# AcLaSm2 PBE relaxed
data_AcLaSm2
_chemical_formula_sum 'Ac1 La1 Sm2'
_space_group_name_H-M_alt 'P 4/m m m'
_space_group_IT_number 123
_space_group_name_Hall '-P 4 2'
_cell_length_a 3.7949
_cell_length_b 3.7949
_cell_length_c 10.3310
_cell_angle_alpha 90.00
_cell_angle_beta 90.00
_cell_angle_gamma 90.00
loop_
_atom_site_label
_atom_site_fract_x
_atom_site_fract_y
_atom_site_fract_z
Ac1 0.0000 0.0000 0.0000
La1 0.0000 0.0000 0.5000
Sm1 0.5000 0.5000 0.2583
# D(E_F) in states/eV per cell: 7.30
# ρ in kg/m3: 7440
# M_tot in μB/atom: 0.0000

=====

Quick one: least stable of them? model 2

=====

Model 1:
# AcLa3Sm3 PBE relaxed
data_AcLa3Sm3
_chemical_formula_sum 'Ac8 La24 Sm24'
_space_group_name_H-M_alt 'C 1 m 1'
_space_group_IT_number 8
_space_group_name_Hall 'C -2y'
_cell_length_a 13.9321
_cell_length_b 23.1092
_cell_length_c 6.8006
_cell_angle_alpha 90.00
_cell_angle_beta 107.66
_cell_angle_gamma 90.00
loop_
_atom_site_label
_atom_site_fract_x
_atom_site_fract_y
_atom_site_fract_z
Ac1 0.0000 0.0000 0.0000
Ac2 0.1121 0.0839 0.5807
Ac3 0.3374 0.5000 0.4345
La1 0.1814 0.3748 0.5151
La2 0.2618 0.0000 0.2427
La3 0.2673 0.2701 0.2827
La4 0.3553 0.1050 0.9853
La5 0.3619 0.3751 0.0683
La6 0.4491 0.0000 0.7281
La7 0.4586 0.2863 0.7073
Sm1 0.0048 0.2615 0.2377
Sm2 0.0410 0.5000 0.2809
Sm3 0.0963 0.3647 0.9543
Sm4 0.1364 0.1415 0.1099
Sm5 0.2044 0.5000 0.8560
Sm6 0.2200 0.2325 0.7501
Sm7 0.3904 0.1360 0.4960
# D(E_F) in states/eV per cell: 84.53
# ρ in kg/m3: 6971
# M_tot in μB/atom: 0.0000

=====

Model 2:
# AcLa3Sm3 PBE relaxed
data_AcLa3Sm3
_chemical_formula_sum 'Ac2 La6 Sm6'
_space_group_name_H-M_alt 'P 63/m'
_space_group_IT_number 176
_space_group_name_Hall '-P 6c'
_cell_length_a 9.9968
_cell_length_b 9.9968
_cell_length_c 6.0180
_cell_angle_alpha 90.00
_cell_angle_beta 90.00
_cell_angle_gamma 120.00
loop_
_atom_site_label
_atom_site_fract_x
_atom_site_fract_y
_atom_site_fract_z
Ac1 0.3333 0.6667 0.2500
La1 0.0935 0.4672 0.7500
Sm1 0.0440 0.2303 0.2500
# D(E_F) in states/eV per cell: 24.82
# ρ in kg/m3: 6981
# M_tot in μB/atom: 0.0000

=====

Quick one: least stable of them? model 1

=====

Model 1:
# AcLa2Sm4 PBE relaxed
data_AcLa2Sm4
_chemical_formula_sum 'Ac2 La4 Sm8'
_space_group_name_H-M_alt 'I 4/m m m'
_space_group_IT_number 139
_space_group_name_Hall '-I 4 2'
_cell_length_a 4.6847
_cell_length_b 4.6847
_cell_length_c 23.9304
_cell_angle_alpha 90.00
_cell_angle_beta 90.00
_cell_angle_gamma 90.00
loop_
_atom_site_label
_atom_site_fract_x
_atom_site_fract_y
_atom_site_fract_z
Ac1 0.0000 0.0000 0.0000
La1 0.0000 0.0000 0.3948
Sm1 0.0000 0.0000 0.1427
Sm2 0.0000 0.5000 0.2500
# D(E_F) in states/eV per cell: 22.04
# ρ in kg/m3: 6996
# M_tot in μB/atom: 0.0002

=====

Model 2:
# AcLa2Sm4 PBE relaxed
data_AcLa2Sm4
_chemical_formula_sum 'Ac2 La4 Sm8'
_space_group_name_H-M_alt 'P 42/m n m'
_space_group_IT_number 136
_space_group_name_Hall '-P 4n 2n'
_cell_length_a 9.4702
_cell_length_b 9.4702
_cell_length_c 5.9113
_cell_angle_alpha 90.00
_cell_angle_beta 90.00
_cell_angle_gamma 90.00
loop_
_atom_site_label
_atom_site_fract_x
_atom_site_fract_y
_atom_site_fract_z
Ac1 0.0000 0.0000 0.0000
La1 0.1975 0.1975 0.5000
Sm1 0.1180 0.3786 0.0000
# D(E_F) in states/eV per cell: 25.06
# ρ in kg/m3: 6930
# M_tot in μB/atom: 0.0000

=====

Quick one: least stable of them? model 1